1.
Computed, not measured: crystalline Li2RuW at its relaxed geometry at the PBE-GGA level of DFT.

```
Li2RuW
1.0
3.0694 0.0000 0.0000
0.0000 3.0694 0.0000
0.0000 0.0000 6.5142
Li Ru W
2 1 1
Cartesian
0.0000 0.0000 0.0000
1.5347 1.5347 1.6192
0.0000 0.0000 3.3353
1.5347 1.5347 4.6586
```

Properties
As for the energy relative to the elements: 26 kJ per mole of atoms. The value obtained for the density of states at the Fermi level is 4.38 states/eV/f.u. The calculation puts the raw total energy at -24.98 eV for the cell shown. The relative energy among the computed polymorphs is 0.45 eV/f.u. Its magnetization is 0.0 μB/f.u.

2.
Computed, not measured: crystalline Li2RuW at its relaxed geometry at the PBE-GGA level of DFT.

```
Li2RuW
1.0
2.4886 -4.5877 0.0000
2.4886 4.5877 0.0000
0.0000 0.0000 2.5679
Li Ru W
2 1 1
Cartesian
1.2443 2.2938 0.0000
1.2443 -2.2938 0.0000
0.0000 0.0000 1.2840
2.4886 0.0000 1.2840
```

Properties
As for the energy relative to the elements: 38 kJ per mole of atoms. The value obtained for the density of states at the Fermi level is 2.26 states/eV/f.u. The calculation puts the raw total energy at -24.49 eV for the cell shown. The relative energy among the computed polymorphs is 0.93 eV/f.u. Its magnetization is 0.0 μB/f.u.

3.
Computed, not measured: crystalline LiRuW at its relaxed geometry at the PBE-GGA level of DFT.

```
LiRuW
1.0
0.0000 2.2264 6.8802
1.4883 0.0000 6.8802
1.4883 2.2264 0.0000
Li Ru W
1 1 1
Cartesian
0.0000 0.0000 0.0000
1.4883 2.2264 4.6345
1.4883 2.2264 9.3551
```

Properties
As for the energy relative to the elements: 30 kJ per mole of atoms. The value obtained for the density of states at the Fermi level is 2.72 states/eV/f.u. The calculation puts the raw total energy at -23.22 eV for the cell shown. The relative energy among the computed polymorphs is 0.31 eV/f.u. Its magnetization is 0.0 μB/f.u.